Compound: TiBi8WBr2O16
Source: Alexandria via LeMat-Bulk
Functional: PBE with a Hubbard U
Structure: optimized geometry

Unit cell a=30.1164 b=5.5925 c=5.5321 alpha=90.00 beta=100.20 gamma=90.00
Space group C2 (No. 5)
One atom of each set of equivalent atoms:
Ti (0.0000, 0.0000, 0.0000)
Bi (0.0885, 0.5623, 0.0751)
Bi (0.0906, 0.0461, 0.6208)
Bi (0.1772, 0.0130, 0.1888)
Bi (0.1771, 0.5094, 0.6696)
W (0.0000, 0.4767, 0.5000)
Br (0.2504, 0.0030, 0.7494)
O (0.0135, 0.2047, 0.2680)
O (0.0147, 0.6945, 0.2720)
O (0.0619, 0.9300, 0.9699)
O (0.0630, 0.4336, 0.6582)
O (0.1386, 0.7582, 0.3868)
O (0.1398, 0.2574, 0.3983)
O (0.1413, 0.2508, 0.8942)
O (0.1405, 0.7531, 0.8908)

Properties
- Calculated total energy: -344.37 eV per cell
- Total magnetization: 0.000 μB per formula unit